## Cr2BiMoOsRh (PBE)

Data for an optimized crystal structure of Cr2BiMoOsRh.

Cell lengths 2.9412, 4.8233, 7.3502 Å; angles 99.41, 101.49, 107.72 degrees
Space group P1 (No. 1)
Asymmetric unit:
Cr (0.0000, 0.0000, 0.0000) [1 per cell]
Cr (0.4064, 0.0383, 0.7693) [1 per cell]
Bi (0.6962, 0.0091, 0.3839) [1 per cell]
Mo (0.5784, 0.5683, 0.5963) [1 per cell]
Os (0.1990, 0.5086, 0.8898) [1 per cell]
Rh (0.8383, 0.4669, 0.2094) [1 per cell]

Results
Energy above the lowest structure with this stoichiometry: 0 meV per atom
Calculated formation energy: 0.275 eV per atom
D(E_F): 5.56 states/eV/f.u.